1.
This record from Alexandria describes a relaxed SbAuS2 crystal. The functional is GGA-PBE.

Values from the calculation:
crystal system	tetragonal
formation energy without anion corrections	0.0942	eV/atom

a b c (Å): 5.6773 5.6773 13.2684
angles (deg): 90.00 90.00 90.00
Space group I-42d (No. 122)
Symmetry-distinct sites (fractional):
1 Sb 0.0000 0.0000 0.0000 x4
2 Au 0.0000 0.0000 0.5000 x4
3 S 0.2318 0.2500 0.6250 x8


2.
This record from Alexandria describes a relaxed CaThCu3 crystal. The functional is GGA-PBE.

Values from the calculation:
crystal system	orthorhombic
energy of formation	-0.76	eV/f.u.

a b c (Å): 3.7295 26.4001 4.3410
angles (deg): 90.00 90.00 90.00
Space group Cmcm (No. 63)
Symmetry-distinct sites (fractional):
1 Ca 0.0000 0.2030 0.2500 x4
2 Th 0.0000 0.0695 0.7500 x4
3 Cu 0.0000 0.3362 0.2500 x4
4 Cu 0.0000 0.3839 0.7500 x4
5 Cu 0.0000 0.4772 0.7500 x4


3.
This record from Alexandria describes a relaxed Sm4IrPd3 crystal. The functional is GGA-PBE.

Values from the calculation:
crystal system	orthorhombic
energy of formation	-6.57	eV/f.u.

a b c (Å): 3.8340 4.5706 10.7292
angles (deg): 90.00 90.00 90.00
Space group Pmm2 (No. 25)
Symmetry-distinct sites (fractional):
1 Sm 0.0000 0.0000 0.0000 x1
2 Sm 0.0000 0.5000 0.2668 x1
3 Sm 0.5000 0.0000 0.4833 x1
4 Sm 0.5000 0.5000 0.7658 x1
5 Ir 0.5000 0.0000 0.2163 x1
6 Pd 0.0000 0.0000 0.7146 x1
7 Pd 0.0000 0.5000 0.5471 x1
8 Pd 0.5000 0.5000 0.0415 x1


4.
This record from Alexandria describes a relaxed PrY3Er7 crystal. The functional is GGA-PBE.

Values from the calculation:
crystal system	monoclinic
energy of formation	1.76	eV/f.u.
distance to the lowest polymorph of the same formula	0.000	eV per atom

a b c (Å): 6.9548 5.5236 9.8799
angles (deg): 90.00 109.95 90.00
Space group P2/m (No. 10)
Symmetry-distinct sites (fractional):
1 Pr 0.0000 0.0000 0.0000 x1
2 Y 0.2769 0.5000 0.4967 x2
3 Y 0.5000 0.0000 0.0000 x1
4 Er 0.0000 0.0000 0.5000 x1
5 Er 0.1485 0.5000 0.7912 x2
6 Er 0.3247 0.5000 0.1435 x2
7 Er 0.4237 0.0000 0.3319 x2


5.
This record from Alexandria describes a relaxed NiP4Ru crystal. The functional is GGA-PBE.

Values from the calculation:
crystal system	cubic
energy of formation	4.46	eV/f.u.

a b c (Å): 6.8741 6.8741 6.8741
angles (deg): 90.00 90.00 90.00
Space group F-43m (No. 216)
Symmetry-distinct sites (fractional):
1 Ni 0.0000 0.0000 0.0000 x4
2 P 0.1262 0.1262 0.6262 x16
3 Ru 0.2500 0.2500 0.2500 x4


6.
This record from Alexandria describes a relaxed Rb5BrO2 crystal. The functional is GGA-PBE.

Values from the calculation:
crystal system	orthorhombic
formation energy without anion corrections	-1.1167	eV/atom

a b c (Å): 5.7165 14.1890 14.1031
angles (deg): 90.00 90.00 90.00
Space group Cmcm (No. 63)
Symmetry-distinct sites (fractional):
1 Rb 0.0000 0.0411 0.1118 x8
2 Rb 0.0000 0.1899 0.7500 x4
3 Rb 0.0000 0.3244 0.0204 x8
4 Br 0.0000 0.4337 0.7500 x4
5 O 0.0000 0.1416 0.5553 x8


7.
This record from Alexandria describes a relaxed Zn2AgOs crystal. The functional is GGA-PBE.

Values from the calculation:
crystal system	trigonal
energy of formation	0.45	eV/f.u.
distance to the lowest polymorph of the same formula	0.000	eV per atom

a b c (Å): 2.8001 2.8001 26.6112
angles (deg): 90.00 90.00 120.00
Space group R-3m (No. 166, hexagonal axes)
Symmetry-distinct sites (fractional):
1 Zn 0.0000 0.0000 0.2472 x6
2 Ag 0.0000 0.0000 0.0000 x3
3 Os 0.0000 0.0000 0.5000 x3


8.
This record from Alexandria describes a relaxed BaIrSN2 crystal. The functional is GGA-PBE.

Values from the calculation:
crystal system	tetragonal
distance to the lowest polymorph of the same formula	0.000	eV per atom
formation energy without anion corrections	0.1206	eV/atom

a b c (Å): 4.0439 4.0439 5.1506
angles (deg): 90.00 90.00 90.00
Space group P4/mmm (No. 123)
Symmetry-distinct sites (fractional):
1 Ba 0.0000 0.0000 0.0000 x1
2 Ir 0.5000 0.5000 0.5000 x1
3 S 0.5000 0.5000 0.0000 x1
4 N 0.0000 0.5000 0.5000 x2


9.
This record from Alexandria describes a relaxed MgRh3N crystal. The functional is GGA-PBE.

Values from the calculation:
crystal system	cubic
distance to the lowest polymorph of the same formula	0.000	eV per atom
formation energy without anion corrections	-0.1597	eV/atom

a b c (Å): 4.0811 4.0811 4.0811
angles (deg): 90.00 90.00 90.00
Space group Pm-3m (No. 221)
Symmetry-distinct sites (fractional):
1 Mg 0.0000 0.0000 0.0000 x1
2 Rh 0.0000 0.5000 0.5000 x3
3 N 0.5000 0.5000 0.5000 x1


10.
This record from Alexandria describes a relaxed TaHg2Au crystal. The functional is GGA-PBE.

Values from the calculation:
crystal system	monoclinic
energy of formation	1.49	eV/f.u.
distance to the lowest polymorph of the same formula	0.191	eV per atom

a b c (Å): 2.9273 4.6988 5.8029
angles (deg): 90.00 97.38 90.00
Space group P2/m (No. 10)
Symmetry-distinct sites (fractional):
1 Ta 0.0000 0.0000 0.0000 x1
2 Hg 0.3407 0.5000 0.7554 x2
3 Au 0.5000 0.0000 0.5000 x1


11.
This record from Alexandria describes a relaxed Ce2Pr3ThN6 crystal. The functional is GGA-PBE.

Values from the calculation:
crystal system	monoclinic
formation energy without anion corrections	-1.4512	eV/atom

a b c (Å): 6.3078 10.9208 6.3166
angles (deg): 90.00 109.44 90.00
Space group C2/m (No. 12)
Symmetry-distinct sites (fractional):
1 Ce 0.0000 0.1665 0.0000 x4
2 Pr 0.0000 0.0000 0.5000 x2
3 Pr 0.0000 0.3318 0.5000 x4
4 Th 0.0000 0.5000 0.0000 x2
5 N 0.2414 0.0000 0.2302 x4
6 N 0.2445 0.3324 0.2307 x8


12.
This record from Alexandria describes a relaxed Tb2Er5Th2 crystal. The functional is GGA-PBE.

Values from the calculation:
crystal system	orthorhombic
energy of formation	2.19	eV/f.u.
distance to the lowest polymorph of the same formula	0.084	eV per atom

a b c (Å): 14.7990 11.8210 6.5842
angles (deg): 90.00 90.00 90.00
Space group Ima2 (No. 46)
Symmetry-distinct sites (fractional):
1 Tb 0.1255 0.0010 0.0000 x8
2 Er 0.0535 0.7435 0.1613 x8
3 Er 0.1426 0.2272 0.3562 x8
4 Er 0.2500 0.7337 0.3533 x4
5 Th 0.0000 0.0000 0.4646 x4
6 Th 0.2500 0.0010 0.5359 x4


Number 1: V 427.7 Å³ per cell. Number 2: V 427.4 Å³ per cell. Number 3: V 188.0 Å³ per cell. Number 4: V 356.8 Å³ per cell. Number 5: V 324.8 Å³ per cell. Number 6: V 1143.9 Å³ per cell. Number 7: V 180.7 Å³ per cell. Number 8: V 84.2 Å³ per cell. Number 9: V 68.0 Å³ per cell. Number 10: V 79.2 Å³ per cell. Number 11: V 410.3 Å³ per cell. Number 12: V 1151.8 Å³ per cell.